# 1
The following is a DFT calculation (meta-GGA SCAN) of a PBEsol-optimized structure of Mg2ZrHg.

Structure (POSCAR):
```
Mg2ZrHg
1.0
3.1589 0.0000 0.0000
0.0000 3.1589 0.0000
0.0000 0.0000 8.3627
Mg Zr Hg
2 1 1
direct
0.0000 0.0000 0.2335
0.0000 0.0000 0.7665
0.5000 0.5000 0.5000
0.5000 0.5000 0.0000
```

Properties
ρ = 6.8 g/cm³
SG = No. 123
DOS at the Fermi energy = 2.34 states/eV/f.u.
crystal system = tetragonal
energy relative to the elements = -0.17 eV/atom

=====

# 2
The following is a DFT calculation (meta-GGA SCAN) of a PBEsol-optimized structure of Eu2AgRh.

Structure (POSCAR):
```
Eu2AgRh
1.0
0.0000 3.5545 3.5545
3.5545 0.0000 3.5545
3.5545 3.5545 0.0000
Eu Ag Rh
2 1 1
direct
0.2500 0.2500 0.2500
0.7500 0.7500 0.7500
0.0000 0.0000 0.0000
0.5000 0.5000 0.5000
```

Properties
ρ = 9.5 g/cm³
SG = No. 225
DOS at the Fermi energy = 13.37 states/eV/f.u.
crystal system = cubic
energy relative to the elements = -0.34 eV/atom

=====

# 3
The following is a DFT calculation (meta-GGA SCAN) of a PBEsol-optimized structure of TaInP2.

Structure (POSCAR):
```
TaInP2
1.0
1.5861 0.9157 7.7564
-1.5861 0.9157 7.7564
0.0000 -1.8315 7.7564
Ta In P
1 1 2
direct
0.0000 0.0000 0.0000
0.2335 0.2335 0.2335
0.4738 0.4738 0.4738
0.7440 0.7440 0.7440
```

Properties
ρ = 8.8 g/cm³
SG = No. 160
DOS at the Fermi energy = 2.21 states/eV/f.u.
crystal system = trigonal
energy relative to the elements = 0.21 eV/atom

=====

# 4
The following is a DFT calculation (meta-GGA SCAN) of a PBEsol-optimized structure of CaReH4ClO6.

Structure (POSCAR):
```
CaReH4ClO6
1.0
3.4949 -7.1304 0.0000
3.4949 7.1304 0.0000
0.0000 0.0000 6.6043
Ca Re H Cl O
2 2 8 2 12
direct
0.0880 0.9120 0.7500
0.9120 0.0880 0.2500
0.2583 0.7417 0.2500
0.7417 0.2583 0.7500
0.2505 0.3392 0.5694
0.2505 0.3392 0.9306
0.3392 0.2505 0.0694
0.3392 0.2505 0.4306
0.6607 0.7495 0.5694
0.6607 0.7495 0.9306
0.7495 0.6607 0.0694
0.7495 0.6607 0.4306
0.3888 0.6112 0.7500
0.6112 0.3888 0.2500
0.1279 0.4686 0.2500
0.1854 0.8146 0.0385
0.1854 0.8146 0.4615
0.2049 0.2049 0.0000
0.2049 0.2049 0.5000
0.4686 0.1279 0.7500
0.5314 0.8721 0.2500
0.7951 0.7951 0.0000
0.7951 0.7951 0.5000
0.8146 0.1854 0.5385
0.8146 0.1854 0.9615
0.8721 0.5314 0.7500
```

Properties
ρ = 3.7 g/cm³
SG = No. 63
DOS at the Fermi energy = 0.00 states/eV/f.u.
crystal system = orthorhombic
VASP energy = -12.47 eV per atom

=====

# 5
The following is a DFT calculation (meta-GGA SCAN) of a PBEsol-optimized structure of BaTl5.

Structure (POSCAR):
```
BaTl5
1.0
0.0000 4.5281 4.5281
4.5281 0.0000 4.5281
4.5281 4.5281 0.0000
Ba Tl
1 5
direct
0.0000 0.0000 0.0000
0.1272 0.6242 0.6242
0.2500 0.2500 0.2500
0.6242 0.1272 0.6242
0.6242 0.6242 0.1272
0.6242 0.6242 0.6242
```

Properties
ρ = 10.4 g/cm³
SG = No. 216
DOS at the Fermi energy = 3.40 states/eV/f.u.
crystal system = cubic
energy relative to the elements = -0.22 eV/atom

=====

# 6
The following is a DFT calculation (meta-GGA SCAN) of a PBEsol-optimized structure of TlPd2Pt.

Structure (POSCAR):
```
TlPd2Pt
1.0
0.0000 3.1882 3.1882
3.1882 0.0000 3.1882
3.1882 3.1882 0.0000
Tl Pd Pt
1 2 1
direct
0.0000 0.0000 0.0000
0.2500 0.2500 0.2500
0.7500 0.7500 0.7500
0.5000 0.5000 0.5000
```

Properties
ρ = 15.7 g/cm³
SG = No. 225
DOS at the Fermi energy = 1.93 states/eV/f.u.
crystal system = cubic
energy relative to the elements = -0.09 eV/atom

=====

# 7
The following is a DFT calculation (meta-GGA SCAN) of a PBEsol-optimized structure of NaMnGa3.

Structure (POSCAR):
```
NaMnGa3
1.0
4.5902 0.0000 0.0000
0.0000 4.5902 0.0000
0.0000 0.0000 4.5902
Na Mn Ga
1 1 3
direct
0.0000 0.0000 0.0000
0.5000 0.5000 0.5000
0.0000 0.5000 0.5000
0.5000 0.0000 0.5000
0.5000 0.5000 0.0000
```

Properties
ρ = 4.9 g/cm³
SG = No. 221
DOS at the Fermi energy = 1.27 states/eV/f.u.
crystal system = cubic
energy relative to the elements = -0.12 eV/atom

=====

# 8
The following is a DFT calculation (meta-GGA SCAN) of a PBEsol-optimized structure of K2CuRe.

Structure (POSCAR):
```
K2CuRe
1.0
2.8502 -5.6308 0.0000
2.8502 5.6308 0.0000
-1.0528 0.0000 2.4304
K Cu Re
2 1 1
direct
0.0000 0.5000 0.0000
0.5000 0.0000 0.0000
0.0000 0.0000 0.5000
0.5000 0.5000 0.5000
```

Properties
ρ = 7.0 g/cm³
SG = No. 12
DOS at the Fermi energy = 1.60 states/eV/f.u.
crystal system = monoclinic
energy relative to the elements = 1.34 eV/atom

=====

# 9
The following is a DFT calculation (meta-GGA SCAN) of a PBEsol-optimized structure of BeTeBr.

Structure (POSCAR):
```
BeTeBr
1.0
0.0000 3.3822 3.3822
3.3822 0.0000 3.3822
3.3822 3.3822 0.0000
Be Te Br
1 1 1
direct
0.0000 0.0000 0.0000
0.2500 0.2500 0.2500
0.5000 0.5000 0.5000
```

Properties
ρ = 4.6 g/cm³
SG = No. 216
DOS at the Fermi energy = 1.48 states/eV/f.u.
crystal system = cubic
energy relative to the elements, uncorrected = 2.22 eV/f.u.

=====

# 10
The following is a DFT calculation (meta-GGA SCAN) of a PBEsol-optimized structure of NaCaGe2.

Structure (POSCAR):
```
NaCaGe2
1.0
0.0000 3.5275 3.5275
3.5275 0.0000 3.5275
3.5275 3.5275 0.0000
Na Ca Ge
1 1 2
direct
0.0000 0.0000 0.0000
0.5000 0.5000 0.5000
0.2500 0.2500 0.2500
0.7500 0.7500 0.7500
```

Properties
ρ = 3.9 g/cm³
SG = No. 225
DOS at the Fermi energy = 1.67 states/eV/f.u.
crystal system = cubic
energy relative to the elements = -0.19 eV/atom

=====

# 11
The following is a DFT calculation (meta-GGA SCAN) of a PBEsol-optimized structure of Sb2AuSe.

Structure (POSCAR):
```
Sb2AuSe
1.0
3.5859 0.0000 0.0000
0.0000 4.5307 0.0000
0.0000 0.0000 5.6761
Sb Au Se
2 1 1
direct
0.0000 0.0000 0.0000
0.5000 0.5000 0.5000
0.0000 0.0000 0.5000
0.5000 0.5000 0.0000
```

Properties
ρ = 9.4 g/cm³
SG = No. 47
DOS at the Fermi energy = 1.55 states/eV/f.u.
crystal system = orthorhombic
energy relative to the elements, uncorrected = -0.43 eV/f.u.

=====

# 12
The following is a DFT calculation (meta-GGA SCAN) of a PBEsol-optimized structure of LaMn3Ge.

Structure (POSCAR):
```
LaMn3Ge
1.0
4.6001 0.0000 0.0000
0.0000 4.6001 0.0000
0.0000 0.0000 4.6001
La Mn Ge
1 3 1
direct
0.0000 0.0000 0.0000
0.0000 0.0000 0.5000
0.0000 0.5000 0.0000
0.5000 0.0000 0.0000
0.5000 0.5000 0.5000
```

Properties
ρ = 6.4 g/cm³
SG = No. 221
DOS at the Fermi energy = 2.91 states/eV/f.u.
crystal system = cubic
energy relative to the elements = 1.55 eV/atom

=====

Number 1: magnetic moment 0.03 μB/f.u.. Number 2: magnetic moment 13.88 μB/f.u.. Number 3: magnetic moment 0.00 μB/f.u.. Number 4: magnetic moment 0.08 μB/f.u.. Number 5: magnetic moment 0.00 μB/f.u.. Number 6: magnetic moment 0.00 μB/f.u.. Number 7: magnetic moment 0.79 μB/f.u.. Number 8: magnetic moment 0.77 μB/f.u.. Number 9: magnetic moment 0.00 μB/f.u.. Number 10: magnetic moment 0.00 μB/f.u.. Number 11: magnetic moment 0.00 μB/f.u.. Number 12: magnetic moment 9.22 μB/f.u..